1.
A plane-wave DFT calculation with PBE was carried out for crystalline Er3ScSe6 at its relaxed geometry.

Unit cell a=11.7163 b=11.7163 c=14.0178 alpha=90.00 beta=90.00 gamma=120.00
Closest atoms and distances in Å follow each position.
Space group R-3 (No. 148, hexagonal axes)
Unique sites:
Er 0.0538 0.2727 0.2002 (multiplicity 18)  6 Se 2.80-2.91
Sc 0.0000 0.0000 0.0000 (multiplicity 3)  6 Se 2.68
Sc 0.0000 0.0000 0.5000 (multiplicity 3)  6 Se 2.72
Se 0.0182 0.2049 0.3962 (multiplicity 18)  1 Sc 2.72, 3 Er 2.83-2.91
Se 0.0326 0.1934 0.8810 (multiplicity 18)  1 Sc 2.68, 3 Er 2.80-2.91

Total magnetization in μB/f.u.: 0.00
Mass density in g cm⁻³: 6.10
N(E_F) in states/eV per cell: 0.000
Calculated volume in Å³ per cell: 1666
Raw formation energy in meV/atom: -1794

2.
A plane-wave DFT calculation with PBE was carried out for crystalline Rh2F13 at its relaxed geometry.

Unit cell a=5.0555 b=6.5847 c=7.5925 alpha=65.05 beta=81.09 gamma=79.06
Closest atoms and distances in Å follow each position.
Space group P-1 (No. 2)
Unique sites:
Rh 0.1761 0.1243 0.2257 (multiplicity 2)  6 F 1.85-2.02
F 0.0000 0.0000 0.5000 (multiplicity 1)  2 Rh 2.02
F 0.1002 0.8723 0.1983 (multiplicity 2)  1 Rh 1.87
F 0.1586 0.7154 0.8638 (multiplicity 2)  1 Rh 1.87
F 0.2381 0.3704 0.2684 (multiplicity 2)  1 Rh 1.87
F 0.3420 0.2352 0.9747 (multiplicity 2)  1 Rh 1.85
F 0.3760 0.5073 0.5573 (multiplicity 2)  1 F 1.42
F 0.4950 0.0375 0.6747 (multiplicity 2)  1 Rh 1.87

Total magnetization in μB/f.u.: 5.00
Mass density in g cm⁻³: 3.35
N(E_F) in states/eV per cell: 7.253
Calculated volume in Å³ per cell: 224
Raw formation energy in meV/atom: -1092

3.
A plane-wave DFT calculation with PBE was carried out for crystalline Ho12Er6Mg at its relaxed geometry.

Unit cell a=12.8080 b=12.8080 c=12.7110 alpha=90.00 beta=90.00 gamma=120.00
Closest atoms and distances in Å follow each position.
Space group R-3m (No. 166, hexagonal axes)
Unique sites:
Ho 0.0000 0.2616 0.0000 (multiplicity 18)  4 Er 3.28-3.46, 6 Ho 3.35-3.52, 1 Mg 3.35
Ho 0.0517 0.5258 0.1149 (multiplicity 18)  5 Ho 3.14-3.43
Er 0.0905 0.1810 0.7722 (multiplicity 18)  4 Ho 3.28-3.46, 2 Er 3.48, 1 Mg 3.52
Mg 0.0000 0.0000 0.0000 (multiplicity 3)  6 Ho 3.35, 6 Er 3.52

Total magnetization in μB/f.u.: 0.00
Mass density in g cm⁻³: 8.30
N(E_F) in states/eV per cell: 93.730
Formation energy in eV per atom: 0.145
Calculated volume in Å³ per cell: 1806
Energy above the lowest structure with this stoichiometry in meV/atom: 4

4.
A plane-wave DFT calculation with PBE was carried out for crystalline RbNbCd at its relaxed geometry.

Unit cell a=3.3606 b=4.2177 c=14.5328 alpha=90.00 beta=90.06 gamma=90.00
Closest atoms and distances in Å follow each position.
Space group P2_1/m (No. 11)
Unique sites:
Rb 0.2488 0.2500 0.1581 (multiplicity 2)  2 Rb 3.36, 4 Cd 3.72-3.73
Nb 0.2501 0.7500 0.5189 (multiplicity 2)  4 Nb 2.75, 2 Cd 2.99
Cd 0.2516 0.2500 0.6651 (multiplicity 2)  4 Nb 2.99-3.16

Total magnetization in μB/f.u.: 0.05
Mass density in g cm⁻³: 4.69
N(E_F) in states/eV per cell: 5.028
Formation energy in eV per atom: 0.422
Calculated volume in Å³ per cell: 206
Energy above the lowest structure with this stoichiometry in meV/atom: 116

5.
A plane-wave DFT calculation with PBE was carried out for crystalline Tb4PmErSe8 at its relaxed geometry.

Unit cell a=8.4759 b=8.4759 c=20.6962 alpha=90.00 beta=90.00 gamma=120.00
Closest atoms and distances in Å follow each position.
Space group R3m (No. 160, hexagonal axes)
Unique sites:
Tb 0.0000 0.0000 0.0000 (multiplicity 3)  4 Se 2.74-2.75
Tb 0.1674 0.3349 0.4575 (multiplicity 9)  6 Se 2.90-2.91
Pm 0.0000 0.0000 0.2487 (multiplicity 3)  4 Se 2.79-2.80
Er 0.0000 0.0000 0.6246 (multiplicity 3)  6 Se 2.86-2.87
Se 0.0000 0.0000 0.3835 (multiplicity 3)  1 Pm 2.79, 3 Tb 2.90
Se 0.0000 0.0000 0.8677 (multiplicity 3)  4 Tb 2.74-2.91
Se 0.0222 0.5111 0.3754 (multiplicity 9)  3 Tb 2.75-2.91, 1 Er 2.87
Se 0.1808 0.3617 0.2055 (multiplicity 9)  1 Pm 2.80, 1 Er 2.86, 2 Tb 2.90

Total magnetization in μB/f.u.: 0.00
Mass density in g cm⁻³: 6.11
N(E_F) in states/eV per cell: 26.540
Calculated volume in Å³ per cell: 1288
Raw formation energy in meV/atom: -1718

6.
A plane-wave DFT calculation with PBE was carried out for crystalline In2HgPt9 at its relaxed geometry.

Unit cell a=4.0519 b=4.0519 c=12.1805 alpha=90.00 beta=90.00 gamma=90.00
Closest atoms and distances in Å follow each position.
Space group P4/mmm (No. 123)
Unique sites:
In 0.0000 0.0000 0.1669 (multiplicity 2)  12 Pt 2.84-2.87
Hg 0.0000 0.0000 0.5000 (multiplicity 1)  12 Pt 2.87-2.90
Pt 0.0000 0.5000 0.0000 (multiplicity 2)  8 Pt 2.85-2.87, 4 In 2.87
Pt 0.0000 0.5000 0.3301 (multiplicity 4)  2 In 2.84, 8 Pt 2.86-2.90, 2 Hg 2.90
Pt 0.5000 0.5000 0.1645 (multiplicity 2)  8 Pt 2.85-2.86, 4 In 2.87
Pt 0.5000 0.5000 0.5000 (multiplicity 1)  4 Hg 2.87, 8 Pt 2.90

Total magnetization in μB/f.u.: 0.00
Mass density in g cm⁻³: 18.15
N(E_F) in states/eV per cell: 13.044
Formation energy in eV per atom: -0.232
Calculated volume in Å³ per cell: 200

7.
A plane-wave DFT calculation with PBE was carried out for crystalline NdYZn4 at its relaxed geometry.

Unit cell a=4.5018 b=7.2781 c=7.7876 alpha=90.00 beta=90.00 gamma=90.00
Closest atoms and distances in Å follow each position.
Space group Immm (No. 71)
Unique sites:
Nd 0.0000 0.0000 0.0000 (multiplicity 2)  12 Zn 3.15-3.19
Y 0.0000 0.5000 0.0000 (multiplicity 2)  12 Zn 3.15-3.20
Zn 0.0000 0.2446 0.3337 (multiplicity 8)  3 Zn 2.59-2.60

Total magnetization in μB/f.u.: 0.00
Mass density in g cm⁻³: 6.44
N(E_F) in states/eV per cell: 11.913
Formation energy in eV per atom: -0.366
Calculated volume in Å³ per cell: 255
Energy above the lowest structure with this stoichiometry in meV/atom: 0

8.
A plane-wave DFT calculation with PBE was carried out for crystalline Na2UTl3Se6 at its relaxed geometry.

Unit cell a=7.3771 b=13.1121 c=7.6473 alpha=90.00 beta=109.86 gamma=90.00
Closest atoms and distances in Å follow each position.
Space group C2/m (No. 12)
Unique sites:
Na 0.0000 0.1653 0.0000 (multiplicity 4)  6 Se 3.02-3.09
U 0.0000 0.5000 0.0000 (multiplicity 2)  6 Se 2.72-2.73
Tl 0.0000 0.0000 0.5000 (multiplicity 2)  6 Se 3.11-3.42
Tl 0.0000 0.3338 0.5000 (multiplicity 4)  6 Se 3.11-3.43
Se 0.2238 0.5000 0.7797 (multiplicity 4)  1 U 2.73
Se 0.2254 0.3513 0.2149 (multiplicity 8)  1 U 2.72, 1 Na 3.02

Total magnetization in μB/f.u.: 0.00
Mass density in g cm⁻³: 6.54
N(E_F) in states/eV per cell: 17.424
Calculated volume in Å³ per cell: 696
Raw formation energy in meV/atom: -770

9.
A plane-wave DFT calculation with PBE was carried out for crystalline FeTcSbN2 at its relaxed geometry.

Unit cell a=3.6185 b=3.6185 c=5.5528 alpha=90.00 beta=90.00 gamma=90.00
Closest atoms and distances in Å follow each position.
Space group P4/mmm (No. 123)
Unique sites:
Fe 0.0000 0.0000 0.0000 (multiplicity 1)  4 N 1.81
Tc 0.0000 0.0000 0.5000 (multiplicity 1)  4 Sb 2.56, 2 Fe 2.78
Sb 0.5000 0.5000 0.5000 (multiplicity 1)  4 Tc 2.56
N 0.0000 0.5000 0.0000 (multiplicity 2)  2 Fe 1.81

Total magnetization in μB/f.u.: 1.55
Mass density in g cm⁻³: 6.93
N(E_F) in states/eV per cell: 4.296
Calculated volume in Å³ per cell: 73
Raw formation energy in meV/atom: 1062

10.
A plane-wave DFT calculation with PBE was carried out for crystalline BaZnF3 at its relaxed geometry.

Unit cell a=5.0876 b=5.0876 c=5.0876 alpha=90.00 beta=90.00 gamma=90.00
Closest atoms and distances in Å follow each position.
Space group Pm-3m (No. 221)
Unique sites:
Ba 0.0000 0.0000 0.0000 (multiplicity 1)  6 F 2.54
Zn 0.5000 0.5000 0.5000 (multiplicity 1)  12 F 3.60
F 0.0000 0.0000 0.5000 (multiplicity 3)  2 Ba 2.54

Total magnetization in μB/f.u.: 1.00
Mass density in g cm⁻³: 3.28
N(E_F) in states/eV per cell: 5.261
Calculated volume in Å³ per cell: 132
Raw formation energy in meV/atom: -2236
Energy above the lowest structure with this stoichiometry in meV/atom: 523

11.
A plane-wave DFT calculation with PBE was carried out for crystalline NdTlBi2O4 at its relaxed geometry.

Unit cell a=4.1124 b=4.1124 c=9.0374 alpha=90.00 beta=90.00 gamma=90.00
Closest atoms and distances in Å follow each position.
Space group P4/mmm (No. 123)
Unique sites:
Nd 0.0000 0.0000 0.0000 (multiplicity 1)  8 O 2.51
Tl 0.0000 0.0000 0.5000 (multiplicity 1)  8 Bi 3.56, 8 O 3.70
Bi 0.5000 0.5000 0.2729 (multiplicity 2)  4 O 2.30
O 0.0000 0.5000 0.1600 (multiplicity 4)  2 Bi 2.30, 2 Nd 2.51

Total magnetization in μB/f.u.: 0.00
Mass density in g cm⁻³: 9.02
N(E_F) in states/eV per cell: 2.743
Calculated volume in Å³ per cell: 153
Raw formation energy in meV/atom: -1569

12.
A plane-wave DFT calculation with PBE was carried out for crystalline KNaFeCu2 at its relaxed geometry.

Unit cell a=4.7307 b=4.7307 c=5.3548 alpha=90.00 beta=90.00 gamma=90.00
Closest atoms and distances in Å follow each position.
Space group P4/mmm (No. 123)
Unique sites:
K 0.0000 0.0000 0.0000 (multiplicity 1)  4 Na 3.35, 8 Cu 3.57
Na 0.5000 0.5000 0.0000 (multiplicity 1)  2 Fe 2.68
Fe 0.5000 0.5000 0.5000 (multiplicity 1)  4 Cu 2.37
Cu 0.0000 0.5000 0.5000 (multiplicity 2)  2 Fe 2.37

Total magnetization in μB/f.u.: 2.77
Mass density in g cm⁻³: 3.40
N(E_F) in states/eV per cell: 4.891
Formation energy in eV per atom: 0.697
Calculated volume in Å³ per cell: 120